(1)
Here is a relaxed structure of ZrSb2Rh from Alexandria via LeMat-Bulk. Energies are from PBE.

Computed properties:
The value obtained for the energy relative to the elements, uncorrected is -0.22 eV/atom.

abc: 9.0408 9.0408 9.0408
angles: 21.10 21.10 21.10
Element x y z (fractional)
Zr 0.2500 0.2500 0.2500
Sb 0.4911 0.4911 0.4911
Sb 0.0089 0.0089 0.0089
Rh 0.7500 0.7500 0.7500


(2)
Here is a relaxed structure of Mn2ZnMo from Alexandria via LeMat-Bulk. Energies are from PBE.

Computed properties:
For the formation energy, the calculation gives 0.152 eV/atom.

abc: 4.8940 4.8940 4.8940
angles: 142.80 131.32 62.82
Element x y z (fractional)
Mn 0.9936 0.9936 0.0000
Mo 0.5099 0.5099 0.0000
Zn 0.2447 0.7447 0.5000
Mn 0.7518 0.2518 0.5000


(3)
Here is a relaxed structure of ReTc3I from Alexandria via LeMat-Bulk. Energies are from PBE.

Computed properties:
Its excess energy over the best structure of this formula in the dataset is 0 kJ/mol of formula units. The value obtained for the energy relative to the elements, uncorrected is 1.81 eV/atom.

abc: 4.8188 4.8188 4.8188
angles: 90.00 90.00 90.00
Element x y z (fractional)
Tc 0.0000 0.5000 0.0000
I 0.5000 0.5000 0.5000
Re 0.0000 0.0000 0.0000
Tc 0.5000 0.0000 0.0000
Tc 0.0000 0.0000 0.5000


(4)
Here is a relaxed structure of Sc4InHg2 from Alexandria via LeMat-Bulk. Energies are from PBE.

Computed properties:
For the formation energy, the calculation gives -0.256 eV/atom. Its excess energy over the best structure of this formula in the dataset is 0 kJ/mol of formula units.

abc: 4.9123 4.9123 8.4418
angles: 73.09 73.09 60.00
Element x y z (fractional)
Sc 0.6161 0.6161 0.1517
Hg 0.2504 0.2504 0.2488
Sc 0.3839 0.3839 0.8483
Sc 0.8702 0.8702 0.3893
Hg 0.7496 0.7496 0.7512
In 0.0000 0.0000 0.0000
Sc 0.1298 0.1298 0.6107


Magnetization
In order: 0.00 2.63 4.73 0.37
Unit: Bohr magnetons per cell